Density functional theory data (PBE) for a geometry-optimized RbZnBF6 structure.

Final energy, hartree per atom: -0.1801
Symmetry: No. 1

a b c (Å): 5.449 5.444 5.866
angles (deg): 93.10 86.83 60.15
Positions (direct):
1 Rb 0.985 0.986 0.000
2 F 0.323 0.622 0.378
3 F 0.875 0.530 0.217
4 F 0.623 0.321 0.621
5 F 0.142 0.455 0.653
6 F 0.529 0.874 0.784
7 F 0.453 0.141 0.347
8 Zn 0.689 0.689 0.500
9 B 0.381 0.381 0.500